# Ca2TaSe

An optimized crystal structure of Ca2TaSe (GGA-PBE, Alexandria).

Output
The space group is P4/mmm. The calculation puts the density of states at the Fermi level at 3.48 states/eV/cell. The total energy is -5.032 eV/atom. The value obtained for the volume is 24.55 A^3/atom. The value obtained for the raw formation energy is -0.20 eV/atom.

```
4
Lattice="-1.387 -0.035 -3.145 3.101 -0.593 -1.361 -1.278 -8.183 0.656" Properties=species:S:1:pos:R:3 pbc="T T T"
Ca -0.048 -0.306 0.024
Ca -0.591 -3.786 0.303
Se 0.537 -2.360 -2.089
Ta -0.102 -6.452 -1.761
```